No. 1
Crystalline BiSbTe3 at its relaxed geometry, computed with PBE-GGA.

Values from the calculation:
The uncorrected formation energy comes out at -0.91 eV/f.u. The total magnetization comes out at 0.0 μB per formula unit. The value obtained for the raw total energy is -18.33 eV per cell.

Unit cell a=10.8132 b=10.8132 c=10.8132 alpha=23.41 beta=23.41 gamma=23.41
Closest atoms and distances in Å follow each position.
Positions (direct):
Te1 0.2136 0.2136 0.2136  3 Bi 3.09
Te2 0.0019 0.0019 0.0019  3 Sb 3.21, 3 Bi 3.27
Te3 0.7841 0.7841 0.7841  3 Sb 3.04
Bi1 0.6028 0.6028 0.6028  6 Te 3.09-3.27
Sb1 0.3975 0.3975 0.3975  6 Te 3.04-3.21



No. 2
Crystalline DyY2NbN4 at its relaxed geometry, computed with PBE-GGA.

Values from the calculation:
The uncorrected formation energy comes out at -12.00 eV/f.u. The total magnetization comes out at 0.0 μB per formula unit. The value obtained for the raw total energy is -72.90 eV per cell.

Unit cell a=3.3610 b=5.8392 c=5.8385 alpha=109.14 beta=90.00 gamma=90.00
Closest atoms and distances in Å follow each position.
Positions (direct):
N1 0.5000 0.7667 0.7671  2 Nb 2.31, 1 Dy 2.38, 3 Y 2.38-2.47
N2 0.0000 0.7618 0.2372  1 Nb 2.26, 2 Dy 2.39, 3 Y 2.39-2.50
N3 0.5000 0.2333 0.2329  2 Nb 2.31, 1 Dy 2.38, 3 Y 2.38-2.47
N4 0.0000 0.2382 0.7628  1 Nb 2.26, 2 Dy 2.39, 3 Y 2.39-2.50
Dy1 0.5000 0.5000 0.0000  6 N 2.38-2.39
Y1 0.5000 0.0000 0.5000  6 N 2.38-2.39
Y2 0.0000 0.5000 0.5000  6 N 2.47-2.50
Nb1 0.0000 0.0000 0.0000  6 N 2.26-2.31



No. 3
Crystalline BaTc2Te at its relaxed geometry, computed with PBE-GGA.

Values from the calculation:
The uncorrected formation energy comes out at 0.96 eV/f.u. The total magnetization comes out at 0.0 μB per formula unit. The value obtained for the raw total energy is -24.83 eV per cell.

Unit cell a=4.0336 b=4.0879 c=6.6611 alpha=82.57 beta=90.00 gamma=90.00
Closest atoms and distances in Å follow each position.
Positions (direct):
Tc1 0.5000 0.2778 0.1587  2 Tc 2.41
Tc2 0.0000 0.9529 0.1718  2 Tc 2.41, 1 Te 2.62
Ba1 0.5000 0.8557 0.7392  4 Tc 3.42-3.58, 4 Te 3.51-3.54
Te1 0.0000 0.4135 0.4302  4 Tc 2.62-2.81



No. 4
Crystalline Dy2HoCu at its relaxed geometry, computed with PBE-GGA.

Values from the calculation:
The total magnetization comes out at 0.0 μB per formula unit. The formation energy comes out at -0.108 eV/atom. The value obtained for the raw total energy is -73.24 eV per cell.

Unit cell a=6.4694 b=6.8173 c=9.6666 alpha=90.00 beta=90.00 gamma=90.00
Closest atoms and distances in Å follow each position.
Positions (direct):
Ho1 0.1319 0.9804 0.7500  2 Cu 2.81-2.88
Ho2 0.6319 0.5196 0.2500  2 Cu 2.81-2.88
Ho3 0.3681 0.4804 0.7500  2 Cu 2.81-2.88
Ho4 0.8681 0.0196 0.2500  2 Cu 2.81-2.88
Dy1 0.3140 0.1923 0.4404  2 Cu 2.83-2.90
Dy2 0.1860 0.6923 0.4404  2 Cu 2.83-2.90
Dy3 0.6860 0.8077 0.9404  2 Cu 2.83-2.90
Dy4 0.6860 0.8077 0.5596  2 Cu 2.83-2.90
Dy5 0.8140 0.3077 0.5596  2 Cu 2.83-2.90
Dy6 0.3140 0.1923 0.0596  2 Cu 2.83-2.90
Dy7 0.1860 0.6923 0.0596  2 Cu 2.83-2.90
Dy8 0.8140 0.3077 0.9404  2 Cu 2.83-2.90
Cu1 0.9502 0.5950 0.7500  2 Ho 2.81-2.88, 4 Dy 2.83-2.90
Cu2 0.4502 0.9050 0.2500  2 Ho 2.81-2.88, 4 Dy 2.83-2.90
Cu3 0.5498 0.0950 0.7500  2 Ho 2.81-2.88, 4 Dy 2.83-2.90
Cu4 0.0498 0.4050 0.2500  2 Ho 2.81-2.88, 4 Dy 2.83-2.90



No. 5
Crystalline Pm4TaN5 at its relaxed geometry, computed with PBE-GGA.

Values from the calculation:
The uncorrected formation energy comes out at -13.73 eV/f.u. The total magnetization comes out at 0.0 μB per formula unit. The value obtained for the raw total energy is -86.21 eV per cell.

Unit cell a=5.1068 b=6.0611 c=6.0611 alpha=79.78 beta=65.08 gamma=65.08
Closest atoms and distances in Å follow each position.
Positions (direct):
Pm1 0.3972 0.4076 0.8012  5 N 2.44-2.59
Pm2 0.8048 0.8012 0.5924  5 N 2.44-2.59
Pm3 0.1984 0.1988 0.4076  5 N 2.44-2.59
Pm4 0.6060 0.5924 0.1988  5 N 2.44-2.59
N1 0.2707 0.8240 0.6441  1 Ta 2.20, 2 Pm 2.44-2.45
N2 0.7388 0.1760 0.3559  1 Ta 2.20, 2 Pm 2.44-2.45
N3 0.0947 0.6441 0.1760  1 Ta 2.20, 2 Pm 2.44-2.45
N4 0.4322 0.0000 0.0000  1 Ta 1.94
N5 0.9148 0.3559 0.8240  1 Ta 2.20, 2 Pm 2.44-2.45
Ta1 0.0526 0.0000 0.0000  1 N 1.94



No. 6
Crystalline Sm3Ge13Os4 at its relaxed geometry, computed with PBE-GGA.

Values from the calculation:
The total magnetization comes out at 0.0 μB per formula unit. The formation energy comes out at -0.341 eV/atom. The value obtained for the raw total energy is -251.83 eV per cell.

Unit cell a=9.1330 b=9.1330 c=9.1330 alpha=90.00 beta=90.00 gamma=90.00
Closest atoms and distances in Å follow each position.
Positions (direct):
Os1 0.7500 0.2500 0.2500  6 Ge 2.51
Os2 0.7500 0.7500 0.7500  6 Ge 2.51
Os3 0.2500 0.2500 0.7500  6 Ge 2.51
Os4 0.7500 0.2500 0.7500  6 Ge 2.51
Os5 0.7500 0.7500 0.2500  6 Ge 2.51
Os6 0.2500 0.7500 0.7500  6 Ge 2.51
Os7 0.2500 0.2500 0.2500  6 Ge 2.51
Os8 0.2500 0.7500 0.2500  6 Ge 2.51
Ge1 0.8545 0.7042 0.0000  2 Os 2.51, 1 Ge 2.66
Ge2 0.6455 0.5000 0.7958  2 Os 2.51, 1 Ge 2.66
Ge3 0.2042 0.6455 0.5000  2 Os 2.51, 1 Ge 2.66
Ge4 0.2958 0.0000 0.1455  2 Os 2.51, 1 Ge 2.66
Ge5 0.5000 0.5000 0.5000  12 Ge 3.01
Ge6 0.7958 0.3545 0.5000  2 Os 2.51, 1 Ge 2.66
Ge7 0.1455 0.2958 0.0000  2 Os 2.51, 1 Ge 2.66
Ge8 0.5000 0.2042 0.6455  2 Os 2.51, 1 Ge 2.66
Ge9 0.1455 0.7042 0.0000  2 Os 2.51, 1 Ge 2.66
Ge10 0.3545 0.5000 0.7958  2 Os 2.51, 1 Ge 2.66
Ge11 0.0000 0.8545 0.7042  2 Os 2.51, 1 Ge 2.66
Ge12 0.0000 0.1455 0.2958  2 Os 2.51, 1 Ge 2.66
Ge13 0.7042 0.0000 0.8545  2 Os 2.51, 1 Ge 2.66
Ge14 0.5000 0.2042 0.3545  2 Os 2.51, 1 Ge 2.66
Ge15 0.0000 0.1455 0.7042  2 Os 2.51, 1 Ge 2.66
Ge16 0.8545 0.2958 0.0000  2 Os 2.51, 1 Ge 2.66
Ge17 0.0000 0.0000 0.0000  12 Ge 3.01
Ge18 0.5000 0.7958 0.6455  2 Os 2.51, 1 Ge 2.66
Ge19 0.3545 0.5000 0.2042  2 Os 2.51, 1 Ge 2.66
Ge20 0.6455 0.5000 0.2042  2 Os 2.51, 1 Ge 2.66
Ge21 0.7958 0.6455 0.5000  2 Os 2.51, 1 Ge 2.66
Ge22 0.5000 0.7958 0.3545  2 Os 2.51, 1 Ge 2.66
Ge23 0.0000 0.8545 0.2958  2 Os 2.51, 1 Ge 2.66
Ge24 0.7042 0.0000 0.1455  2 Os 2.51, 1 Ge 2.66
Ge25 0.2958 0.0000 0.8545  2 Os 2.51, 1 Ge 2.66
Ge26 0.2042 0.3545 0.5000  2 Os 2.51, 1 Ge 2.66
Sm1 0.2500 0.0000 0.5000  4 Os 3.23, 12 Ge 3.23-3.26
Sm2 0.5000 0.2500 0.0000  4 Os 3.23, 12 Ge 3.23-3.26
Sm3 0.5000 0.7500 0.0000  4 Os 3.23, 12 Ge 3.23-3.26
Sm4 0.0000 0.5000 0.7500  4 Os 3.23, 12 Ge 3.23-3.26
Sm5 0.7500 0.0000 0.5000  4 Os 3.23, 12 Ge 3.23-3.26
Sm6 0.0000 0.5000 0.2500  4 Os 3.23, 12 Ge 3.23-3.26